First-principles (PBE) data for crystalline NiSn at its relaxed geometry, as listed in Alexandria.

a = 5.756 Å, b = 5.756 Å, c = 5.756 Å
α = 90.00°, β = 90.00°, γ = 90.00°
Sites, in units of the cell vectors:
1 Sn 0.000 0.500 0.500
2 Sn 0.000 0.000 0.000
3 Sn 0.500 0.500 0.000
4 Ni 0.250 0.250 0.250
5 Ni 0.750 0.750 0.250
6 Sn 0.500 0.000 0.500
7 Ni 0.750 0.250 0.750
8 Ni 0.250 0.750 0.750

Output
ΔE_f = 0.7 eV/f.u.